# AcDy3Bi2

An optimized crystal structure of AcDy3Bi2 (PBE-GGA, Alexandria via LeMat-Bulk).

The structure belongs to space group C2/m (No. 12); the cell edges are 19.298, 4.505 and 10.003 Å and the angles 90.00°, 113.51° and 90.00°. The distinct sites, in fractional coordinates, are Ac at (0.115, 0.000, 0.132), Dy at (0.059, 0.000, 0.672), Dy at (0.134, 0.500, 0.478), Dy at (0.189, 0.500, 0.886), Bi at (0.016, 0.500, 0.841) and Bi at (0.241, 0.000, 0.699).

For the formation energy, the calculation gives -490.2 meV/atom. The spin magnetization comes out at 0.6 Bohr magnetons per cell.